Entry 1:
# Zn2FeP2H8O12, optimized geometry, DFT PBEsol
# raw total energy	-149.62	eV/f.u.
# D(E_F)	5.4	states/eV/f.u.
# density	3.17	g/cm3
# M_tot	4.00	μB/f.u.
data_Zn2FeP2H8O12
_chemical_formula_sum 'Zn4 Fe2 P4 H16 O24'
_cell_length_a 10.259
_cell_length_b 5.020
_cell_length_c 10.508
_cell_angle_alpha 90.00
_cell_angle_beta 119.66
_cell_angle_gamma 90.00
_symmetry_space_group_name_H-M 'P 1 21/c 1'
_symmetry_Int_Tables_number 14
_symmetry_space_group_name_Hall '-P 2ybc'
loop_
_atom_site_label
_atom_site_fract_x
_atom_site_fract_y
_atom_site_fract_z
Zn1 0.001 0.197 0.145
Fe1 0.500 0.000 0.000
P1 0.191 0.719 0.189
H1 0.262 0.111 0.031
H2 0.344 0.109 0.528
H3 0.444 0.037 0.341
H4 0.444 0.709 0.196
O1 0.090 0.647 0.746
O2 0.150 0.073 0.652
O3 0.161 0.619 0.551
O4 0.325 0.203 0.995
O5 0.360 0.747 0.303
O6 0.475 0.679 0.120

Entry 2:
# MgZrTi3, optimized geometry, DFT PBEsol
# D(E_F)	10.1	states/eV/f.u.
# ΔH_f (0 K)	1.228	eV/atom
# density	4.10	g/cm3
# M_tot	2.46	μB/f.u.
data_MgZrTi3
_chemical_formula_sum 'Mg1 Zr1 Ti3'
_cell_length_a 4.718
_cell_length_b 4.718
_cell_length_c 4.718
_cell_angle_alpha 90.00
_cell_angle_beta 90.00
_cell_angle_gamma 90.00
_symmetry_space_group_name_H-M 'P m -3 m'
_symmetry_Int_Tables_number 221
_symmetry_space_group_name_Hall '-P 4 2 3'
loop_
_atom_site_label
_atom_site_fract_x
_atom_site_fract_y
_atom_site_fract_z
Mg1 0.000 0.000 0.000
Zr1 0.500 0.500 0.500
Ti1 0.000 0.000 0.500

Entry 3:
# Mg2MoRh, optimized geometry, DFT PBEsol
# relative energy among the computed polymorphs	0.941	eV/f.u.
# D(E_F)	3.7	states/eV/f.u.
# ΔH_f (0 K)	0.173	eV/atom
# density	6.45	g/cm3
# M_tot	0.00	μB/f.u.
data_Mg2MoRh
_chemical_formula_sum 'Mg4 Mo2 Rh2'
_cell_length_a 2.890
_cell_length_b 4.726
_cell_length_c 9.335
_cell_angle_alpha 90.00
_cell_angle_beta 90.00
_cell_angle_gamma 90.00
_symmetry_space_group_name_H-M 'I m m m'
_symmetry_Int_Tables_number 71
_symmetry_space_group_name_Hall '-I 2 2'
loop_
_atom_site_label
_atom_site_fract_x
_atom_site_fract_y
_atom_site_fract_z
Mg1 0.000 0.000 0.233
Mo1 0.000 0.500 0.000
Rh1 0.000 0.500 0.500

Entry 4:
# KS3Br, optimized geometry, DFT PBEsol
# D(E_F)	3.7	states/eV/f.u.
# density	2.93	g/cm3
# ΔE_f (raw)	291	meV/atom
# M_tot	0.00	μB/f.u.
data_KS3Br
_chemical_formula_sum 'K1 S3 Br1'
_cell_length_a 4.959
_cell_length_b 4.959
_cell_length_c 4.959
_cell_angle_alpha 90.00
_cell_angle_beta 90.00
_cell_angle_gamma 90.00
_symmetry_space_group_name_H-M 'P m -3 m'
_symmetry_Int_Tables_number 221
_symmetry_space_group_name_Hall '-P 4 2 3'
loop_
_atom_site_label
_atom_site_fract_x
_atom_site_fract_y
_atom_site_fract_z
K1 0.000 0.000 0.000
S1 0.000 0.500 0.500
Br1 0.500 0.500 0.500

Entry 5:
# Tl2AgTeW, optimized geometry, DFT PBEsol
# D(E_F)	2.2	states/eV/f.u.
# density	7.66	g/cm3
# ΔE_f (raw)	1778	meV/atom
# M_tot	4.72	μB/f.u.
data_Tl2AgTeW
_chemical_formula_sum 'Tl2 Ag1 Te1 W1'
_cell_length_a 6.012
_cell_length_b 6.012
_cell_length_c 4.967
_cell_angle_alpha 90.00
_cell_angle_beta 90.00
_cell_angle_gamma 90.00
_symmetry_space_group_name_H-M 'P 4/m m m'
_symmetry_Int_Tables_number 123
_symmetry_space_group_name_Hall '-P 4 2'
loop_
_atom_site_label
_atom_site_fract_x
_atom_site_fract_y
_atom_site_fract_z
Tl1 0.000 0.500 0.000
Ag1 0.000 0.000 0.500
Te1 0.000 0.000 0.000
W1 0.500 0.500 0.500

Entry 6:
# CdReSb, optimized geometry, DFT PBEsol
# D(E_F)	3.1	states/eV/f.u.
# density	10.67	g/cm3
# ΔE_f (raw)	1517	meV/atom
# M_tot	0.00	μB/f.u.
data_CdReSb
_chemical_formula_sum 'Cd4 Re4 Sb4'
_cell_length_a 6.396
_cell_length_b 6.396
_cell_length_c 6.396
_cell_angle_alpha 90.00
_cell_angle_beta 90.00
_cell_angle_gamma 90.00
_symmetry_space_group_name_H-M 'F -4 3 m'
_symmetry_Int_Tables_number 216
_symmetry_space_group_name_Hall 'F -4 2 3'
loop_
_atom_site_label
_atom_site_fract_x
_atom_site_fract_y
_atom_site_fract_z
Cd1 0.000 0.000 0.000
Re1 0.250 0.250 0.750
Sb1 0.250 0.250 0.250

Entry 7:
# LaAlPCl2, optimized geometry, DFT PBEsol
# relative energy among the computed polymorphs	1.849	eV/f.u.
# D(E_F)	3.1	states/eV/f.u.
# density	2.72	g/cm3
# ΔE_f (raw)	-623	meV/atom
# M_tot	0.00	μB/f.u.
data_LaAlPCl2
_chemical_formula_sum 'La1 Al1 P1 Cl2'
_cell_length_a 5.414
_cell_length_b 5.414
_cell_length_c 5.585
_cell_angle_alpha 90.00
_cell_angle_beta 90.00
_cell_angle_gamma 90.00
_symmetry_space_group_name_H-M 'P 4/m m m'
_symmetry_Int_Tables_number 123
_symmetry_space_group_name_Hall '-P 4 2'
loop_
_atom_site_label
_atom_site_fract_x
_atom_site_fract_y
_atom_site_fract_z
La1 0.000 0.000 0.000
Al1 0.500 0.500 0.500
P1 0.000 0.000 0.500
Cl1 0.000 0.500 0.000

Entry 8:
# YZnPd, optimized geometry, DFT PBEsol
# D(E_F)	1.6	states/eV/f.u.
# ΔH_f (0 K)	-0.749	eV/atom
# density	7.67	g/cm3
# M_tot	0.00	μB/f.u.
data_YZnPd
_chemical_formula_sum 'Y4 Zn4 Pd4'
_cell_length_a 6.927
_cell_length_b 4.046
_cell_length_c 8.057
_cell_angle_alpha 90.00
_cell_angle_beta 90.00
_cell_angle_gamma 90.00
_symmetry_space_group_name_H-M 'P n m a'
_symmetry_Int_Tables_number 62
_symmetry_space_group_name_Hall '-P 2ac 2n'
loop_
_atom_site_label
_atom_site_fract_x
_atom_site_fract_y
_atom_site_fract_z
Y1 0.047 0.250 0.190
Zn1 0.135 0.250 0.565
Pd1 0.249 0.750 0.382

Q: What is the formula in the sixth record?
A: CdReSb

Q: Number 4 is which compound?
A: KS3Br